A relaxed Pu2Cl5 crystal, computed with PBE.

Summary:
SG   C2/c
Formation energy from raw total energies   -1.909 eV per atom

Unit cell a=6.495 b=7.364 c=8.300 alpha=97.02 beta=113.04 gamma=90.00
Site moments in Bohr magnetons follow the coordinates.
Fractional coordinates of all 14 atoms:
1 Cl 0.797 0.320 0.437  -0.04
2 Cl 0.204 0.427 0.171  -0.04
3 Cl 0.572 0.250 0.000  -0.04
4 Cl 0.796 0.573 0.829  -0.04
5 Cl 0.034 0.073 0.829  -0.04
6 Cl 0.361 0.180 0.563  -0.04
7 Cl 0.203 0.680 0.563  -0.04
8 Cl 0.639 0.820 0.437  -0.04
9 Cl 0.966 0.927 0.171  -0.04
10 Cl 0.428 0.750 0.000  -0.04
11 Pu 0.388 0.085 0.227  5.44
12 Pu 0.612 0.915 0.773  5.44
13 Pu 0.161 0.415 0.773  5.44
14 Pu 0.839 0.585 0.227  5.44